Arrangement A

KSc2FeB PBE optimized geometry; space group = P4/mmm
1.0
4.7270 0.0000 0.0000
0.0000 4.7270 0.0000
0.0000 0.0000 4.0736
K Sc Fe B
1 2 1 1
direct
0.0000 0.0000 0.0000
0.0000 0.5000 0.0000
0.5000 0.0000 0.0000
0.0000 0.0000 0.5000
0.5000 0.5000 0.5000

=====

Arrangement B

KSc2FeB PBE optimized geometry; space group = P4/mmm
1.0
4.6859 0.0000 0.0000
0.0000 4.6859 0.0000
0.0000 0.0000 5.5287
K Sc Fe B
1 2 1 1
direct
0.0000 0.0000 0.0000
0.0000 0.5000 0.5000
0.5000 0.0000 0.5000
0.5000 0.5000 0.0000
0.0000 0.0000 0.5000

=====

Arrangement C

KSc2FeB PBE optimized geometry; space group = P4/mmm
1.0
4.8310 0.0000 0.0000
0.0000 4.8310 0.0000
0.0000 0.0000 4.2751
K Sc Fe B
1 2 1 1
direct
0.0000 0.0000 0.0000
0.0000 0.5000 0.0000
0.5000 0.0000 0.0000
0.5000 0.5000 0.5000
0.0000 0.0000 0.5000

=====

Stability order, top to bottom: arrangement B, arrangement C, arrangement A

=====

Arrangement A

LiFeB3 PBE optimized geometry; space group = Pm-3m
1.0
3.7480 0.0000 0.0000
0.0000 3.7480 0.0000
0.0000 0.0000 3.7480
Li Fe B
1 1 3
direct
0.0000 0.0000 0.0000
0.5000 0.5000 0.5000
0.0000 0.5000 0.5000
0.5000 0.0000 0.5000
0.5000 0.5000 0.0000

=====

Arrangement B

LiFeB3 PBE optimized geometry; space group = Pm-3m
1.0
3.3931 0.0000 0.0000
0.0000 3.3931 0.0000
0.0000 0.0000 3.3931
Li Fe B
1 1 3
direct
0.0000 0.0000 0.0000
0.5000 0.5000 0.5000
0.0000 0.0000 0.5000
0.0000 0.5000 0.0000
0.5000 0.0000 0.0000

=====

Stability order, top to bottom: arrangement A, arrangement B

=====

Arrangement A

LiFe3B PBE optimized geometry; space group = Pm-3m
1.0
3.8618 0.0000 0.0000
0.0000 3.8618 0.0000
0.0000 0.0000 3.8618
Li Fe B
1 3 1
direct
0.0000 0.0000 0.0000
0.0000 0.5000 0.5000
0.5000 0.0000 0.5000
0.5000 0.5000 0.0000
0.5000 0.5000 0.5000

=====

Arrangement B

LiFe3B PBE optimized geometry; space group = Pm-3m
1.0
3.8417 0.0000 0.0000
0.0000 3.8417 0.0000
0.0000 0.0000 3.8417
Li Fe B
1 3 1
direct
0.0000 0.0000 0.0000
0.0000 0.0000 0.5000
0.0000 0.5000 0.0000
0.5000 0.0000 0.0000
0.5000 0.5000 0.5000

=====

Stability order, top to bottom: arrangement A, arrangement B

=====

Arrangement A

Li3FeB PBE optimized geometry; space group = Pm-3m
1.0
4.0387 0.0000 0.0000
0.0000 4.0387 0.0000
0.0000 0.0000 4.0387
Li Fe B
3 1 1
direct
0.0000 0.0000 0.5000
0.0000 0.5000 0.0000
0.5000 0.0000 0.0000
0.5000 0.5000 0.5000
0.0000 0.0000 0.0000

=====

Arrangement B

Li3FeB PBE optimized geometry; space group = Pm-3m
1.0
4.4572 0.0000 0.0000
0.0000 4.4572 0.0000
0.0000 0.0000 4.4572
Li Fe B
3 1 1
direct
0.0000 0.0000 0.5000
0.0000 0.5000 0.0000
0.5000 0.0000 0.0000
0.0000 0.0000 0.0000
0.5000 0.5000 0.5000

=====

Stability order, top to bottom: arrangement A, arrangement B

=====

Arrangement A

LiFe2B PBE optimized geometry; space group = I-42d
1.0
-1.6855 1.6855 7.5561
1.6855 -1.6855 7.5561
1.6855 1.6855 -7.5561
Li Fe B
2 4 2
direct
0.0000 0.0000 0.0000
0.7500 0.2500 0.5000
0.1570 0.6250 0.0320
0.3750 0.4070 0.5320
0.5930 0.1250 0.9680
0.8750 0.8430 0.4680
0.2500 0.7500 0.5000
0.5000 0.5000 0.0000

=====

Arrangement B

LiFe2B PBE optimized geometry; space group = Fm-3m
1.0
0.0000 2.6115 2.6115
2.6115 0.0000 2.6115
2.6115 2.6115 0.0000
Li Fe B
1 2 1
direct
0.0000 0.0000 0.0000
0.2500 0.2500 0.2500
0.7500 0.7500 0.7500
0.5000 0.5000 0.5000

=====

Stability order, top to bottom: arrangement B, arrangement A